Entry 1:
The following is a DFT calculation (PBE-GGA) of a relaxed structure of Tl2Zn2Sb.

a b c (Å): 7.0593 7.0593 7.0593
angles (deg): 142.84 142.84 53.56
Positions (direct):
Tl (0.2500, 0.7500, 0.5000)
Tl (0.7500, 0.2500, 0.5000)
Zn (0.0946, 0.0946, 0.0000)
Zn (0.9054, 0.9054, 0.0000)
Sb (0.5000, 0.5000, 0.0000)

## Properties
electronic total energy	-2.01	eV per atom
ΔE to the lowest computed polymorph	212	meV per atom
uncorrected formation energy	0.268	eV per atom

***

Entry 2:
The following is a DFT calculation (PBE-GGA) of a relaxed structure of PrHoGeRh.

a b c (Å): 5.0510 5.0510 5.0510
angles (deg): 60.00 60.00 60.00
Positions (direct):
Pr (0.0000, 0.0000, 0.0000)
Ho (0.5000, 0.5000, 0.5000)
Ge (0.2500, 0.2500, 0.2500)
Rh (0.7500, 0.7500, 0.7500)

## Properties
electronic total energy	-5.97	eV per atom
ΔE to the lowest computed polymorph	161	meV per atom
DFT formation energy	-2.6	eV per formula unit